No. 1
# PBE Cs2LiHf3S8, optimized geometry
data_Cs2LiHf3S8
_chemical_formula_sum 'Cs6 Li3 Hf9 S24'
_symmetry_space_group_name_H-M 'R 3 m'
_symmetry_Int_Tables_number 160
_symmetry_space_group_name_Hall 'R 3 -2"'
_cell_length_a 7.4016
_cell_length_b 7.4016
_cell_length_c 26.0040
_cell_angle_alpha 90.00
_cell_angle_beta 90.00
_cell_angle_gamma 120.00
loop_
_atom_site_label
_atom_site_type_symbol
_atom_site_fract_x
_atom_site_fract_y
_atom_site_fract_z
_atom_site_occupancy
Cs1 Cs 0.0000 0.0000 0.0000 1
Cs2 Cs 0.0000 0.0000 0.3492 1
Li1 Li 0.0000 0.0000 0.8457 1
Hf1 Hf 0.1685 0.3370 0.1817 1
S1 S 0.0000 0.0000 0.1273 1
S2 S 0.0000 0.0000 0.5724 1
S3 S 0.0127 0.5064 0.1264 1
S4 S 0.1730 0.3460 0.9031 1
# Formation energy from raw total energies   -1.43 eV/atom
# Size of the total moment   0.001 μB per formula unit
# Volume   29.375 Å³/atom
# N(E_F)   19.5 states/eV per cell

---

No. 2
# PBE CsLi2HfS, optimized geometry
data_CsLi2HfS
_chemical_formula_sum 'Cs1 Li2 Hf1 S1'
_symmetry_space_group_name_H-M 'P 4/m m m'
_symmetry_Int_Tables_number 123
_symmetry_space_group_name_Hall '-P 4 2'
_cell_length_a 5.850
_cell_length_b 5.850
_cell_length_c 4.930
_cell_angle_alpha 90.00
_cell_angle_beta 90.00
_cell_angle_gamma 90.00
loop_
_atom_site_label
_atom_site_type_symbol
_atom_site_fract_x
_atom_site_fract_y
_atom_site_fract_z
_atom_site_occupancy
Cs1 Cs 0.000 0.000 0.000 1
Li1 Li 0.000 0.500 0.500 1
Hf1 Hf 0.500 0.500 0.500 1
S1 S 0.500 0.500 0.000 1
# Formation energy from raw total energies   0.08 eV/atom
# Size of the total moment   2.728 μB per formula unit
# Volume   33.741 Å³/atom
# N(E_F)   3.7 states/eV per cell

---

No. 3
# PBE CsLiHfS3, optimized geometry
data_CsLiHfS3
_chemical_formula_sum 'Cs4 Li4 Hf4 S12'
_symmetry_space_group_name_H-M 'C m c m'
_symmetry_Int_Tables_number 63
_symmetry_space_group_name_Hall '-C 2c 2'
_cell_length_a 7.085
_cell_length_b 12.916
_cell_length_c 6.926
_cell_angle_alpha 90.00
_cell_angle_beta 90.00
_cell_angle_gamma 90.00
loop_
_atom_site_label
_atom_site_type_symbol
_atom_site_fract_x
_atom_site_fract_y
_atom_site_fract_z
_atom_site_occupancy
Cs1 Cs 0.000 0.235 0.250 1
Li1 Li 0.000 0.071 0.750 1
Hf1 Hf 0.000 0.445 0.750 1
S1 S 0.000 0.265 0.750 1
S2 S 0.241 0.500 0.000 1
# Formation energy from raw total energies   -1.49 eV/atom
# Size of the total moment   0.000 μB per formula unit
# Volume   26.407 Å³/atom
# N(E_F)   0.0 states/eV per cell

---

No. 4
# PBE CsLiHfSe3, optimized geometry
data_CsLiHfSe3
_chemical_formula_sum 'Cs4 Li4 Hf4 Se12'
_symmetry_space_group_name_H-M 'C m c m'
_symmetry_Int_Tables_number 63
_symmetry_space_group_name_Hall '-C 2c 2'
_cell_length_a 7.400
_cell_length_b 13.493
_cell_length_c 7.237
_cell_angle_alpha 90.00
_cell_angle_beta 90.00
_cell_angle_gamma 90.00
loop_
_atom_site_label
_atom_site_type_symbol
_atom_site_fract_x
_atom_site_fract_y
_atom_site_fract_z
_atom_site_occupancy
Cs1 Cs 0.000 0.237 0.250 1
Li1 Li 0.000 0.071 0.750 1
Hf1 Hf 0.000 0.445 0.750 1
Se1 Se 0.000 0.263 0.750 1
Se2 Se 0.244 0.500 0.000 1
# Formation energy from raw total energies   -1.34 eV/atom
# Size of the total moment   0.000 μB per formula unit
# Volume   30.109 Å³/atom

---

No. 5
# PBE Cs2LiHf2Te6, optimized geometry
data_Cs2LiHf2Te6
_chemical_formula_sum 'Cs4 Li2 Hf4 Te12'
_symmetry_space_group_name_H-M 'C 1 2/m 1'
_symmetry_Int_Tables_number 12
_cell_length_a 7.266
_cell_length_b 12.505
_cell_length_c 9.510
_cell_angle_alpha 90.00
_cell_angle_beta 103.91
_cell_angle_gamma 90.00
loop_
_symmetry_equiv_pos_as_xyz
'x,y,z'
'-x,-y,-z'
'-x,y,-z'
'x,-y,z'
'x+1/2,y+1/2,z'
'-x+1/2,-y+1/2,-z'
'-x+1/2,y+1/2,-z'
'x+1/2,-y+1/2,z'
loop_
_atom_site_label
_atom_site_type_symbol
_atom_site_fract_x
_atom_site_fract_y
_atom_site_fract_z
_atom_site_occupancy
Cs1 Cs 0.000 0.164 0.000 1
Li1 Li 0.000 0.000 0.500 1
Hf1 Hf 0.000 0.332 0.500 1
Te1 Te 0.202 0.500 0.684 1
Te2 Te 0.231 0.171 0.680 1
# Formation energy from raw total energies   -0.88 eV/atom
# Size of the total moment   0.000 μB per formula unit
# Volume   38.127 Å³/atom
# N(E_F)   7.5 states/eV per cell

---

No. 6
# PBE CsHfMg2, optimized geometry
data_CsHfMg2
_chemical_formula_sum 'Cs4 Hf4 Mg8'
_symmetry_space_group_name_H-M 'F m -3 m'
_symmetry_Int_Tables_number 225
_symmetry_space_group_name_Hall '-F 4 2 3'
_cell_length_a 7.932
_cell_length_b 7.932
_cell_length_c 7.932
_cell_angle_alpha 90.00
_cell_angle_beta 90.00
_cell_angle_gamma 90.00
loop_
_atom_site_label
_atom_site_type_symbol
_atom_site_fract_x
_atom_site_fract_y
_atom_site_fract_z
_atom_site_occupancy
Cs1 Cs 0.000 0.000 0.000 1
Hf1 Hf 0.000 0.000 0.500 1
Mg1 Mg 0.250 0.250 0.250 1
# Formation energy from the elements   0.897 eV per atom
# Size of the total moment   0.000 μB per formula unit
# Volume   31.193 Å³/atom
# N(E_F)   15.3 states/eV per cell

---

No. 7
# PBE CsHfMg6, optimized geometry
data_CsHfMg6
_chemical_formula_sum 'Cs2 Hf2 Mg12'
_symmetry_space_group_name_H-M 'A m m 2'
_symmetry_Int_Tables_number 38
_cell_length_a 5.292
_cell_length_b 6.805
_cell_length_c 11.831
_cell_angle_alpha 90.00
_cell_angle_beta 90.00
_cell_angle_gamma 90.00
loop_
_symmetry_equiv_pos_as_xyz
'x,y,z'
'-x,-y,z'
'-x,y,z'
'x,-y,z'
'x,y+1/2,z+1/2'
'-x,-y+1/2,z+1/2'
'-x,y+1/2,z+1/2'
'x,-y+1/2,z+1/2'
loop_
_atom_site_label
_atom_site_type_symbol
_atom_site_fract_x
_atom_site_fract_y
_atom_site_fract_z
_atom_site_occupancy
Cs1 Cs 0.000 0.000 0.000 1
Hf1 Hf 0.500 0.000 0.666 1
Mg1 Mg 0.000 0.000 0.511 1
Mg2 Mg 0.000 0.234 0.744 1
Mg3 Mg 0.500 0.000 0.181 1
Mg4 Mg 0.500 0.229 0.409 1
# Formation energy from the elements   0.363 eV per atom
# E above lowest polymorph   56 meV/atom
# Size of the total moment   0.023 μB per formula unit
# Volume   26.627 Å³/atom
# N(E_F)   17.2 states/eV per cell

---

No. 8
# PBE CsHfMg14, optimized geometry
data_CsHfMg14
_chemical_formula_sum 'Cs1 Hf1 Mg14'
_symmetry_space_group_name_H-M 'P -6 m 2'
_symmetry_Int_Tables_number 187
_symmetry_space_group_name_Hall 'P -6 2'
_cell_length_a 6.6291
_cell_length_b 6.6291
_cell_length_c 10.5595
_cell_angle_alpha 90.00
_cell_angle_beta 90.00
_cell_angle_gamma 120.00
loop_
_atom_site_label
_atom_site_type_symbol
_atom_site_fract_x
_atom_site_fract_y
_atom_site_fract_z
_atom_site_occupancy
Cs1 Cs 0.0000 0.0000 0.0000 1
Hf1 Hf 0.0000 0.0000 0.5000 1
Mg1 Mg 0.0104 0.5052 0.0000 1
Mg2 Mg 0.1702 0.3405 0.2705 1
Mg3 Mg 0.5026 0.0053 0.5000 1
Mg4 Mg 0.6667 0.3333 0.2446 1
# Formation energy from the elements   0.200 eV per atom
# E above lowest polymorph   27 meV/atom
# Size of the total moment   0.000 μB per formula unit
# Volume   25.117 Å³/atom
# N(E_F)   9.5 states/eV per cell

---

No. 9
# PBE CsHf2Mg, optimized geometry
data_CsHf2Mg
_chemical_formula_sum 'Cs4 Hf8 Mg4'
_symmetry_space_group_name_H-M 'I -4 2 d'
_symmetry_Int_Tables_number 122
_symmetry_space_group_name_Hall 'I -4 2bw'
_cell_length_a 4.433
_cell_length_b 4.433
_cell_length_c 23.280
_cell_angle_alpha 90.00
_cell_angle_beta 90.00
_cell_angle_gamma 90.00
loop_
_atom_site_label
_atom_site_type_symbol
_atom_site_fract_x
_atom_site_fract_y
_atom_site_fract_z
_atom_site_occupancy
Cs1 Cs 0.000 0.000 0.000 1
Hf1 Hf 0.229 0.750 0.625 1
Mg1 Mg 0.000 0.000 0.500 1
# Formation energy from the elements   1.229 eV per atom
# Size of the total moment   0.000 μB per formula unit
# Volume   28.587 Å³/atom
# N(E_F)   17.5 states/eV per cell

---

No. 10
# PBE CsHfMg6, optimized geometry
data_CsHfMg6
_chemical_formula_sum 'Cs2 Hf2 Mg12'
_symmetry_space_group_name_H-M 'A m m 2'
_symmetry_Int_Tables_number 38
_cell_length_a 3.246
_cell_length_b 11.234
_cell_length_c 12.193
_cell_angle_alpha 90.00
_cell_angle_beta 90.00
_cell_angle_gamma 90.00
loop_
_symmetry_equiv_pos_as_xyz
'x,y,z'
'-x,-y,z'
'-x,y,z'
'x,-y,z'
'x,y+1/2,z+1/2'
'-x,-y+1/2,z+1/2'
'-x,y+1/2,z+1/2'
'x,-y+1/2,z+1/2'
loop_
_atom_site_label
_atom_site_type_symbol
_atom_site_fract_x
_atom_site_fract_y
_atom_site_fract_z
_atom_site_occupancy
Cs1 Cs 0.000 0.000 0.000 1
Hf1 Hf 0.000 0.000 0.491 1
Mg1 Mg 0.000 0.233 0.319 1
Mg2 Mg 0.500 0.000 0.275 1
Mg3 Mg 0.500 0.000 0.722 1
Mg4 Mg 0.500 0.216 0.584 1
# Formation energy from the elements   0.307 eV per atom
# E above lowest polymorph   0 meV/atom
# Size of the total moment   0.001 μB per formula unit
# Volume   27.788 Å³/atom
# N(E_F)   17.0 states/eV per cell

---

No. 11
# PBE Cs3HfMg, optimized geometry
data_Cs3HfMg
_chemical_formula_sum 'Cs3 Hf1 Mg1'
_symmetry_space_group_name_H-M 'P m -3 m'
_symmetry_Int_Tables_number 221
_symmetry_space_group_name_Hall '-P 4 2 3'
_cell_length_a 7.069
_cell_length_b 7.069
_cell_length_c 7.069
_cell_angle_alpha 90.00
_cell_angle_beta 90.00
_cell_angle_gamma 90.00
loop_
_atom_site_label
_atom_site_type_symbol
_atom_site_fract_x
_atom_site_fract_y
_atom_site_fract_z
_atom_site_occupancy
Cs1 Cs 0.000 0.000 0.500 1
Hf1 Hf 0.500 0.500 0.500 1
Mg1 Mg 0.000 0.000 0.000 1
# Formation energy from the elements   1.313 eV per atom
# Size of the total moment   3.325 μB per formula unit
# Volume   70.638 Å³/atom
# N(E_F)   12.7 states/eV per cell

---

No. 12
# PBE CsHfMg14, optimized geometry
data_CsHfMg14
_chemical_formula_sum 'Cs2 Hf2 Mg28'
_symmetry_space_group_name_H-M 'C m m m'
_symmetry_Int_Tables_number 65
_symmetry_space_group_name_Hall '-C 2 2'
_cell_length_a 9.736
_cell_length_b 9.745
_cell_length_c 8.430
_cell_angle_alpha 90.00
_cell_angle_beta 90.00
_cell_angle_gamma 90.00
loop_
_atom_site_label
_atom_site_type_symbol
_atom_site_fract_x
_atom_site_fract_y
_atom_site_fract_z
_atom_site_occupancy
Cs1 Cs 0.000 0.000 0.000 1
Hf1 Hf 0.000 0.500 0.000 1
Mg1 Mg 0.000 0.000 0.500 1
Mg2 Mg 0.000 0.270 0.262 1
Mg3 Mg 0.000 0.500 0.500 1
Mg4 Mg 0.230 0.500 0.262 1
Mg5 Mg 0.250 0.250 0.000 1
Mg6 Mg 0.250 0.250 0.500 1
# Formation energy from the elements   0.174 eV per atom
# E above lowest polymorph   0 meV/atom
# Size of the total moment   0.000 μB per formula unit
# Volume   24.994 Å³/atom
# N(E_F)   22.2 states/eV per cell